[1]
A plane-wave DFT calculation with PBE was carried out for crystalline Na3CdSn at its relaxed geometry.

energy of formation	-0.124	eV/atom
density	3.8	g/cm3
energy above the lowest structure with this stoichiometry	0.000	eV/f.u.

```
Na3CdSn
1.0
5.256 0.000 0.000
0.000 6.126 1.356
0.000 0.160 8.287
Cd Na Sn
2 6 2
Direct
0.624 0.416 0.372 Cd
0.124 0.682 0.275 Cd
0.625 0.985 0.171 Na
0.125 0.113 0.476 Na
0.125 0.297 0.075 Na
0.625 0.802 0.573 Na
0.624 0.597 0.978 Na
0.124 0.502 0.669 Na
0.123 0.902 0.882 Sn
0.623 0.197 0.765 Sn
```


[2]
A plane-wave DFT calculation with PBE was carried out for crystalline LaTl3Cl6 at its relaxed geometry.

ΔE_f (raw)	-1.58	eV/atom
density	4.5	g/cm3

```
LaTl3Cl6
1.0
-7.339 -1.816 -1.312
1.417 -7.707 2.742
-3.086 3.070 10.225
La Cl Tl
2 12 6
Direct
0.500 0.500 0.500 La
0.000 0.000 0.000 La
0.695 0.169 0.954 Cl
0.667 0.223 0.583 Cl
0.634 0.433 0.267 Cl
0.366 0.567 0.733 Cl
0.866 0.933 0.233 Cl
0.333 0.777 0.417 Cl
0.833 0.723 0.917 Cl
0.195 0.331 0.454 Cl
0.134 0.067 0.767 Cl
0.167 0.277 0.083 Cl
0.305 0.831 0.046 Cl
0.805 0.669 0.546 Cl
0.523 0.934 0.767 Tl
0.023 0.566 0.267 Tl
0.477 0.066 0.233 Tl
0.000 0.000 0.500 Tl
0.977 0.434 0.733 Tl
0.500 0.500 0.000 Tl
```


[3]
A plane-wave DFT calculation with PBE was carried out for crystalline Na3ZrZn2O6 at its relaxed geometry.

ΔE_f (raw)	-1.83	eV/atom
density	4.5	g/cm3

```
Na3ZrZn2O6
1.0
-1.317 2.639 4.608
-1.309 -5.272 -0.656
5.672 -0.623 0.945
O Na Zn Zr
6 3 2 1
Direct
0.743 0.743 0.214 O
0.402 0.074 0.208 O
0.926 0.598 0.792 O
0.257 0.257 0.786 O
0.074 0.402 0.208 O
0.598 0.926 0.792 O
0.175 0.825 0.500 Na
0.500 0.500 0.500 Na
0.825 0.175 0.500 Na
0.666 0.334 0.000 Zn
0.334 0.666 0.000 Zn
0.000 0.000 0.000 Zr
```


[4]
A plane-wave DFT calculation with PBE was carried out for crystalline CuOsBr2 at its relaxed geometry.

ΔE_f (raw)	0.97	eV/atom
density	9.1	g/cm3
energy above the lowest structure with this stoichiometry	2.189	eV/f.u.

```
CuOsBr2
1.0
3.340 -0.006 0.000
-1.891 2.753 0.000
0.000 0.000 8.250
Br Os Cu
2 1 1
Direct
0.000 0.000 0.500 Br
0.000 0.000 0.000 Br
0.500 0.500 0.750 Os
0.500 0.500 0.250 Cu
```


[5]
A plane-wave DFT calculation with PBE was carried out for crystalline CrInTc2N at its relaxed geometry.

ΔE_f (raw)	-0.03	eV/atom
density	9.2	g/cm3

```
CrInTc2N
1.0
-3.819 -1.612 0.250
1.541 -3.774 -0.793
0.510 -0.607 3.882
Tc Cr N In
2 1 1 1
Direct
0.000 0.500 0.000 Tc
0.500 0.000 0.000 Tc
0.000 0.000 0.500 Cr
0.000 0.000 0.000 N
0.500 0.500 0.500 In
```


[6]
A plane-wave DFT calculation with PBE was carried out for crystalline PmPAu at its relaxed geometry.

energy of formation	-0.951	eV/atom
density	9.7	g/cm3
energy above the lowest structure with this stoichiometry	0.030	eV/f.u.

```
PmPAu
1.0
4.085 0.000 0.000
0.000 4.248 0.000
0.000 -2.124 3.679
Au P Pm
1 1 1
Direct
0.834 0.667 0.333 Au
0.833 0.000 0.000 P
0.333 0.333 0.667 Pm
```


[7]
A plane-wave DFT calculation with PBE was carried out for crystalline Sc2SbBr at its relaxed geometry.

ΔE_f (raw)	-0.84	eV/atom
density	4.8	g/cm3
energy above the lowest structure with this stoichiometry	0.000	eV/f.u.

```
Sc2SbBr
1.0
4.197 -0.018 0.021
2.101 3.633 0.021
2.087 1.198 6.628
Br Sb Sc
1 1 2
Direct
0.750 0.750 0.750 Br
0.250 0.250 0.250 Sb
0.510 0.510 0.469 Sc
0.990 0.990 0.031 Sc
```


[8]
A plane-wave DFT calculation with PBE was carried out for crystalline EuGaBr3 at its relaxed geometry.

ΔE_f (raw)	-1.25	eV/atom
density	3.8	g/cm3

```
EuGaBr3
1.0
-4.238 -1.776 3.658
2.180 -5.453 -0.122
3.433 1.270 4.594
Br Eu Ga
3 1 1
Direct
0.000 0.500 0.000 Br
0.000 0.000 0.500 Br
0.500 0.000 0.000 Br
0.000 0.000 0.000 Eu
0.500 0.500 0.500 Ga
```


[9]
A plane-wave DFT calculation with PBE was carried out for crystalline Ac2TiOs2N6 at its relaxed geometry.

ΔE_f (raw)	-0.45	eV/atom
density	9.4	g/cm3

```
Ac2TiOs2N6
1.0
-2.329 -3.919 3.878
-2.619 -4.995 -2.002
3.185 -5.603 0.868
N Ti Os Ac
6 1 2 2
Direct
0.234 0.764 0.238 N
0.764 0.234 0.238 N
0.236 0.236 0.762 N
0.766 0.236 0.762 N
0.236 0.766 0.762 N
0.764 0.764 0.238 N
0.000 0.000 0.000 Ti
0.409 0.409 0.773 Os
0.591 0.591 0.227 Os
0.781 0.781 0.658 Ac
0.219 0.219 0.342 Ac
```


[10]
A plane-wave DFT calculation with PBE was carried out for crystalline Cs3PuPa3N8 at its relaxed geometry.

ΔE_f (raw)	-1.04	eV/atom
density	7.5	g/cm3

```
Cs3PuPa3N8
1.0
7.175 0.000 0.000
-3.587 6.211 -0.020
0.000 -4.121 7.162
N Pa Pu Cs
8 3 1 3
Direct
0.713 0.426 0.639 N
0.287 0.574 0.361 N
0.796 0.591 0.365 N
0.795 0.070 0.365 N
0.204 0.409 0.635 N
0.725 0.930 0.635 N
0.275 0.070 0.365 N
0.205 0.930 0.635 N
0.000 0.500 0.500 Pa
0.500 0.500 0.500 Pa
0.500 0.000 0.500 Pa
0.000 0.000 0.500 Pu
0.000 0.000 0.000 Cs
0.000 0.500 0.000 Cs
0.500 0.500 0.000 Cs
```


[11]
A plane-wave DFT calculation with PBE was carried out for crystalline NiHg3Rh at its relaxed geometry.

energy of formation	0.726	eV/atom
density	11.1	g/cm3
energy above the lowest structure with this stoichiometry	0.000	eV/f.u.

```
NiHg3Rh
1.0
4.855 0.000 0.000
0.000 4.855 0.000
0.000 0.000 4.855
Hg Ni Rh
3 1 1
Direct
0.000 0.000 0.500 Hg
0.500 0.000 0.000 Hg
0.000 0.500 0.000 Hg
0.000 0.000 0.000 Ni
0.500 0.500 0.500 Rh
```


[12]
A plane-wave DFT calculation with PBE was carried out for crystalline AlCd3 at its relaxed geometry.

energy of formation	0.150	eV/atom
density	6.8	g/cm3

```
AlCd3
1.0
5.009 0.000 0.000
2.504 4.338 0.000
2.504 1.446 4.090
Cd Al
3 1
Direct
0.500 0.500 0.500 Cd
0.250 0.250 0.250 Cd
0.750 0.750 0.750 Cd
0.000 0.000 0.000 Al
```


[13]
A plane-wave DFT calculation with PBE was carried out for crystalline TbZrS2 at its relaxed geometry.

ΔE_f (raw)	-1.68	eV/atom
density	6.7	g/cm3
energy above the lowest structure with this stoichiometry	0.000	eV/f.u.

```
TbZrS2
1.0
3.821 0.000 0.000
1.911 3.309 0.000
1.911 1.103 6.201
Zr Tb S
1 1 2
Direct
0.000 0.000 0.000 Zr
0.500 0.500 0.500 Tb
0.254 0.254 0.238 S
0.746 0.746 0.762 S
```


[14]
A plane-wave DFT calculation with PBE was carried out for crystalline Cd6Rh at its relaxed geometry.

energy of formation	0.936	eV/atom
density	5.4	g/cm3
energy above the lowest structure with this stoichiometry	7.267	eV/f.u.

```
Cd6Rh
1.0
6.790 0.000 0.000
-2.263 6.401 0.000
-2.263 -3.201 5.544
Cd Rh
6 1
Direct
0.500 0.250 0.750 Cd
0.250 0.500 0.750 Cd
0.750 0.500 0.250 Cd
0.750 0.250 0.500 Cd
0.500 0.750 0.250 Cd
0.250 0.750 0.500 Cd
0.000 0.000 0.000 Rh
```


[15]
A plane-wave DFT calculation with PBE was carried out for crystalline K3AcNp2Se6 at its relaxed geometry.

ΔE_f (raw)	-1.43	eV/atom
density	5.6	g/cm3

```
K3AcNp2Se6
1.0
-3.053 2.544 -1.847
-1.532 -6.470 -6.382
-4.630 -3.134 8.535
Np Se Ac K
2 6 1 3
Direct
0.170 0.338 0.340 Np
0.830 0.662 0.660 Np
0.677 0.555 0.354 Se
0.337 0.883 0.673 Se
0.013 0.244 0.026 Se
0.323 0.445 0.646 Se
0.663 0.117 0.327 Se
0.987 0.756 0.974 Se
0.500 0.000 0.000 Ac
0.500 0.500 0.000 K
0.834 0.169 0.669 K
0.166 0.831 0.331 K
```


[16]
A plane-wave DFT calculation with PBE was carried out for crystalline Nd2Sn4Pd3Pt at its relaxed geometry.

energy of formation	-0.783	eV/atom
density	9.4	g/cm3

```
Nd2Sn4Pd3Pt
1.0
-2.360 -3.446 1.890
3.903 -2.312 0.660
1.074 4.584 9.699
Sn Pd Pt Nd
4 3 1 2
Direct
0.000 0.000 0.000 Sn
0.500 0.500 0.000 Sn
0.000 0.500 0.371 Sn
0.500 0.000 0.629 Sn
0.500 0.000 0.869 Pd
0.000 0.500 0.131 Pd
0.000 0.000 0.500 Pd
0.500 0.500 0.500 Pt
0.000 0.500 0.738 Nd
0.500 0.000 0.262 Nd
```


[17]
A plane-wave DFT calculation with PBE was carried out for crystalline Hg2Se3 at its relaxed geometry.

ΔE_f (raw)	0.10	eV/atom
density	8.2	g/cm3

```
Hg2Se3
1.0
-2.247 0.523 -3.170
1.741 -3.458 0.620
-7.759 -3.011 5.003
Hg Se
2 3
Direct
0.333 0.667 0.612 Hg
0.667 0.333 0.388 Hg
0.333 0.667 0.160 Se
0.000 0.000 0.000 Se
0.667 0.333 0.840 Se
```


[18]
A plane-wave DFT calculation with PBE was carried out for crystalline Pr3AgPd3 at its relaxed geometry.

energy of formation	-0.438	eV/atom
density	7.2	g/cm3
energy above the lowest structure with this stoichiometry	1.631	eV/f.u.

```
Pr3AgPd3
1.0
5.805 0.000 0.000
0.000 8.859 0.000
0.000 -4.429 7.672
Pd Pr Ag
6 6 2
Direct
0.750 0.297 0.336 Pd
0.250 0.336 0.039 Pd
0.250 0.961 0.297 Pd
0.750 0.039 0.703 Pd
0.750 0.664 0.961 Pd
0.250 0.703 0.664 Pd
0.250 0.620 0.947 Pr
0.750 0.674 0.620 Pr
0.250 0.326 0.380 Pr
0.250 0.053 0.674 Pr
0.750 0.947 0.326 Pr
0.750 0.380 0.053 Pr
0.250 0.667 0.333 Ag
0.750 0.333 0.667 Ag
```


[19]
A plane-wave DFT calculation with PBE was carried out for crystalline MnCoIr2 at its relaxed geometry.

energy of formation	0.226	eV/atom
density	15.0	g/cm3

```
MnCoIr2
1.0
4.274 0.000 0.000
2.137 3.701 0.000
2.137 1.234 3.490
Co Ir Mn
1 2 1
Direct
0.500 0.500 0.500 Co
0.250 0.250 0.250 Ir
0.000 0.000 0.000 Ir
0.750 0.750 0.750 Mn
```


[20]
A plane-wave DFT calculation with PBE was carried out for crystalline Ta2CoBr at its relaxed geometry.

ΔE_f (raw)	0.91	eV/atom
density	9.2	g/cm3
energy above the lowest structure with this stoichiometry	3.303	eV/f.u.

```
Ta2CoBr
1.0
-0.866 -5.438 -0.374
3.214 -0.815 4.413
-3.545 -2.618 5.550
Ta Co Br
4 2 2
Direct
0.183 0.625 0.250 Ta
0.375 0.433 0.750 Ta
0.567 0.125 0.250 Ta
0.875 0.817 0.750 Ta
0.250 0.750 0.500 Co
0.500 0.500 0.000 Co
0.000 0.000 0.000 Br
0.750 0.250 0.500 Br
```